No. 1
Si2Hg2Bi GGA-PBE relaxed; excess energy over the best structure of this formula in the dataset = 146 meV/atom
1.0
-4.513 0.274 -0.671
0.162 -3.744 -2.617
-3.046 -4.946 2.896
Bi Si Hg
1 2 2
Direct
0.000 0.000 0.000
0.396 0.396 0.208
0.604 0.604 0.792
0.250 0.750 0.500
0.750 0.250 0.500



No. 2
Si2HgBi2 GGA-PBE relaxed; excess energy over the best structure of this formula in the dataset = 90 meV/atom
1.0
8.138 0.000 0.000
0.000 8.138 0.000
0.000 0.000 3.789
Hg Si Bi
2 4 4
Direct
0.000 0.000 0.000
0.500 0.500 0.000
0.391 0.891 0.000
0.891 0.609 0.000
0.109 0.391 0.000
0.609 0.109 0.000
0.174 0.674 0.500
0.826 0.326 0.500
0.674 0.826 0.500
0.326 0.174 0.500



No. 3
Si2Hg2Bi GGA-PBE relaxed; excess energy over the best structure of this formula in the dataset = 0 meV/atom
1.0
-1.029 -0.807 3.238
1.485 -3.145 -0.312
8.430 1.550 4.947
Bi Si Hg
1 2 2
Direct
0.000 0.000 0.000
0.250 0.750 0.500
0.750 0.250 0.500
0.381 0.381 0.237
0.619 0.619 0.763



No. 4
A plane-wave DFT calculation with GGA-PBE was carried out for an optimized crystal structure of SiHgBi2.

Structure (POSCAR):
```
SiHgBi2
1.0
-2.116 -4.900 -4.036
-1.961 -3.542 5.328
-7.727 -1.519 0.348
Hg Bi Si
2 4 2
Direct
0.000 0.000 0.000
0.750 0.250 0.500
0.875 0.849 0.750
0.375 0.401 0.750
0.599 0.125 0.250
0.151 0.625 0.250
0.250 0.750 0.500
0.500 0.500 0.000
```



No. 5
SiHg3Bi GGA-PBE relaxed; excess energy over the best structure of this formula in the dataset = 450 meV/atom
1.0
-3.472 1.641 -4.404
1.946 -4.482 -3.204
-4.278 -3.370 2.117
Hg Bi Si
3 1 1
Direct
0.000 0.500 0.000
0.000 0.000 0.500
0.500 0.000 0.000
0.000 0.000 0.000
0.500 0.500 0.500



No. 6
A plane-wave DFT calculation with GGA-PBE was carried out for an optimized crystal structure of SiHg2Bi2.

Structure (POSCAR):
```
SiHg2Bi2
1.0
7.579 0.000 0.000
0.000 7.579 0.000
0.000 0.000 5.067
Hg Bi Si
4 4 2
Direct
0.164 0.664 0.500
0.336 0.164 0.500
0.664 0.836 0.500
0.836 0.336 0.500
0.151 0.349 0.000
0.651 0.151 0.000
0.349 0.849 0.000
0.849 0.651 0.000
0.500 0.500 0.000
0.000 0.000 0.000
```



No. 7
A plane-wave DFT calculation with GGA-PBE was carried out for an optimized crystal structure of SrSiHgBi2.

Structure (POSCAR):
```
SrSiHgBi2
1.0
-4.287 -0.884 -3.604
1.342 -5.802 -0.173
-3.484 -0.937 4.374
Sr Bi Hg Si
1 2 1 1
Direct
0.000 0.500 0.000
0.000 0.000 0.500
0.500 0.000 0.000
0.000 0.000 0.000
0.500 0.500 0.500
```



No. 8
A plane-wave DFT calculation with GGA-PBE was carried out for an optimized crystal structure of TaSi2HgBi.

Structure (POSCAR):
```
TaSi2HgBi
1.0
-4.643 -1.540 0.192
1.178 -3.006 4.371
-1.132 3.776 2.903
Si Hg Ta Bi
2 1 1 1
Direct
0.000 0.000 0.500
0.500 0.000 0.000
0.000 0.000 0.000
0.000 0.500 0.000
0.500 0.500 0.500
```



Here are the calculated formation energy (no corrections) numbers, same order: 459; 415; 313; 264; 849; 372; 603; 1509 (meV per atom).
Here are the calculated calculated volume numbers, same order: 23.52; 25.09; 23.37; 35.29; 39.90; 29.10; 38.31; 26.05 (Å³ per atom).
Here are the calculated electronic total energy numbers, same order: -13.04; -33.67; -13.77; -24.86; -5.96; -23.85; -12.15; -19.34 (eV per cell).